## K2IBr5 (PBE-GGA)

Data for crystalline K2IBr5 at its relaxed geometry.

a b c (Å): 10.516 7.241 6.509
angles (deg): 125.23 116.71 89.48
Fractional positions:
K: 0.290 0.912 0.582
Br: 0.535 0.535 0.070
K: 0.779 0.157 0.557
Br: 0.674 0.231 0.033
Br: 0.897 0.755 0.117
Br: 0.396 0.838 0.108
I: 0.035 0.035 0.068
Br: 0.172 0.314 0.020

Calculated values
The calculation puts the energy relative to the elements, uncorrected at -7.27 eV/f.u.